[1]
A plane-wave DFT calculation with SCAN was carried out for a crystal of SrAlSCl2 relaxed with PBEsol.

abc: 5.4556 5.4556 5.6938
angles: 90.00 90.00 90.00
Last column: magnetic moment on the atom in μB.
Element x y z (fractional)
Sr: 0.0000 0.0000 0.0000  0.00
S: 0.0000 0.0000 0.5000  0.54
Al: 0.5000 0.5000 0.5000  0.02
Cl: 0.0000 0.5000 0.0000  0.03
Cl: 0.5000 0.0000 0.0000  0.03

**DOS(E_F)**: 4.6 states/eV/cell



[2]
A plane-wave DFT calculation with SCAN was carried out for a crystal of AlTcS2Cl relaxed with PBEsol.

abc: 4.4811 4.6462 4.6462
angles: 90.00 90.00 90.00
Last column: magnetic moment on the atom in μB.
Element x y z (fractional)
S: 0.0000 0.0000 0.5000  0.08
S: 0.0000 0.5000 0.0000  0.08
Al: 0.0000 0.0000 0.0000  0.01
Tc: 0.5000 0.5000 0.5000  4.30
Cl: 0.5000 0.0000 0.0000  0.05

**DOS(E_F)**: 0.8 states/eV/cell



[3]
A plane-wave DFT calculation with SCAN was carried out for a crystal of AlTeS2Cl relaxed with PBEsol.

abc: 4.4304 4.7043 4.7043
angles: 90.00 90.00 90.00
Element x y z (fractional)
S: 0.0000 0.0000 0.5000
S: 0.0000 0.5000 0.0000
Te: 0.5000 0.5000 0.5000
Al: 0.0000 0.0000 0.0000
Cl: 0.5000 0.0000 0.0000

**DOS(E_F)**: 1.7 states/eV/cell



[4]
A plane-wave DFT calculation with SCAN was carried out for a crystal of AlWS2Cl relaxed with PBEsol.

abc: 4.3135 4.6424 4.6424
angles: 90.00 90.00 90.00
Last column: magnetic moment on the atom in μB.
Element x y z (fractional)
S: 0.0000 0.0000 0.5000  -0.14
S: 0.0000 0.5000 0.0000  -0.14
Al: 0.0000 0.0000 0.0000  0.02
W: 0.5000 0.5000 0.5000  3.13
Cl: 0.5000 0.0000 0.0000  0.06

**DOS(E_F)**: 1.4 states/eV/cell



[5]
A plane-wave DFT calculation with SCAN was carried out for a crystal of ZrAlSCl2 relaxed with PBEsol.

abc: 4.7040 4.7040 5.8914
angles: 90.00 90.00 90.00
Element x y z (fractional)
S: 0.5000 0.5000 0.5000
Al: 0.0000 0.0000 0.5000
Zr: 0.0000 0.0000 0.0000
Cl: 0.0000 0.5000 0.0000
Cl: 0.5000 0.0000 0.0000

**DOS(E_F)**: 4.5 states/eV/cell



[6]
A plane-wave DFT calculation with SCAN was carried out for a crystal of AlSb2Cl relaxed with PBEsol.

abc: 3.0430 5.6669 5.9315
angles: 90.00 90.00 90.00
Element x y z (fractional)
Sb: 0.7603 0.0000 0.0000
Sb: 0.7469 0.0000 0.5000
Al: 0.7455 0.5000 0.0000
Cl: 0.7472 0.5000 0.5000

**ΔE to the lowest computed polymorph**: 85 meV/atom
**DOS(E_F)**: 1.8 states/eV/cell



[7]
A plane-wave DFT calculation with SCAN was carried out for a crystal of Al4SbCl relaxed with PBEsol.

abc: 5.5416 5.5416 5.5416
angles: 60.00 60.00 60.00
Element x y z (fractional)
Sb: 0.0000 0.0000 0.0000
Al: 0.3751 0.3751 0.3751
Al: 0.3751 0.3751 0.8748
Al: 0.8748 0.3751 0.3751
Al: 0.3751 0.8748 0.3751
Cl: 0.7500 0.7500 0.7500

**DOS(E_F)**: 2.1 states/eV/cell



[8]
A plane-wave DFT calculation with SCAN was carried out for a crystal of AlSb2Cl relaxed with PBEsol.

abc: 3.4625 3.4625 7.6375
angles: 90.00 90.00 90.00
Element x y z (fractional)
Sb: 0.0000 0.0000 0.7887
Sb: 0.0000 0.0000 0.2113
Al: 0.5000 0.5000 0.0000
Cl: 0.5000 0.5000 0.5000

**ΔE to the lowest computed polymorph**: 0 meV/atom
**DOS(E_F)**: 1.5 states/eV/cell



[9]
A plane-wave DFT calculation with SCAN was carried out for a crystal of AlSb2Cl relaxed with PBEsol.

abc: 5.0560 5.0560 5.0560
angles: 60.00 60.00 60.00
Element x y z (fractional)
Sb: 0.0000 0.0000 0.0000
Sb: 0.7500 0.7500 0.7500
Al: 0.5000 0.5000 0.5000
Cl: 0.2500 0.2500 0.2500

**ΔE to the lowest computed polymorph**: 159 meV/atom
**DOS(E_F)**: 1.5 states/eV/cell



[10]
A plane-wave DFT calculation with SCAN was carried out for a crystal of Al2Sb2Cl relaxed with PBEsol.

abc: 4.5460 4.5460 6.7211
angles: 109.77 109.77 90.00
Element x y z (fractional)
Sb: 0.2500 0.7500 0.5000
Sb: 0.7500 0.2500 0.5000
Al: 0.3936 0.3936 0.7873
Al: 0.6064 0.6064 0.2127
Cl: 0.0000 0.0000 0.0000

**DOS(E_F)**: 1.4 states/eV/cell



[11]
A plane-wave DFT calculation with SCAN was carried out for a crystal of AlSb5Se5Cl4 relaxed with PBEsol.

abc: 9.3719 9.5791 11.5552
angles: 103.83 110.03 100.48
Element x y z (fractional)
Al: 0.9299 0.6249 0.3021
Al: 0.0701 0.3751 0.6979
Sb: 0.7794 0.2402 0.9367
Sb: 0.2206 0.7598 0.0633
Sb: 0.9213 0.0355 0.8193
Sb: 0.0787 0.9645 0.1807
Sb: 0.5642 0.8117 0.9169
Sb: 0.4358 0.1883 0.0831
Sb: 0.4213 0.8684 0.6761
Sb: 0.5787 0.1316 0.3239
Sb: 0.7117 0.6234 0.5917
Sb: 0.2883 0.3766 0.4083
Se: 0.7198 0.0832 0.0806
Se: 0.2802 0.9168 0.9194
Se: 0.4936 0.1584 0.7650
Se: 0.5064 0.8416 0.2350
Se: 0.8481 0.8081 0.8955
Se: 0.1519 0.1919 0.1045
Se: 0.6520 0.8897 0.5941
Se: 0.3480 0.1103 0.4059
Se: 0.4859 0.5213 0.6571
Se: 0.5141 0.4787 0.3429
Cl: 0.1721 0.6808 0.3169
Cl: 0.8279 0.3192 0.6831
Cl: 0.9101 0.7920 0.4521
Cl: 0.0899 0.2080 0.5479
Cl: 0.8785 0.4085 0.3252
Cl: 0.1215 0.5915 0.6748
Cl: 0.7762 0.6181 0.1131
Cl: 0.2238 0.3819 0.8869



[12]
A plane-wave DFT calculation with SCAN was carried out for a crystal of Y2AlSbCl relaxed with PBEsol.

abc: 4.5657 5.5515 5.5515
angles: 90.00 90.00 90.00
Last column: magnetic moment on the atom in μB.
Element x y z (fractional)
Y: 0.0000 0.0000 0.5000  0.13
Y: 0.0000 0.5000 0.0000  0.13
Sb: 0.5000 0.5000 0.5000  -0.02
Al: 0.0000 0.0000 0.0000  0.01
Cl: 0.5000 0.0000 0.0000  0.02

**DOS(E_F)**: 3.0 states/eV/cell



[13]
A plane-wave DFT calculation with SCAN was carried out for a crystal of Sc3AlCl relaxed with PBEsol.

abc: 4.6818 4.6818 4.6818
angles: 90.00 90.00 90.00
Element x y z (fractional)
Sc: 0.0000 0.5000 0.0000
Sc: 0.0000 0.0000 0.5000
Sc: 0.5000 0.0000 0.0000
Al: 0.5000 0.5000 0.5000
Cl: 0.0000 0.0000 0.0000

**DOS(E_F)**: 4.0 states/eV/cell



[14]
A plane-wave DFT calculation with SCAN was carried out for a crystal of ScAl3Cl relaxed with PBEsol.

abc: 4.7419 4.7419 4.7419
angles: 90.00 90.00 90.00
Element x y z (fractional)
Sc: 0.5000 0.5000 0.5000
Al: 0.0000 0.5000 0.0000
Al: 0.0000 0.0000 0.5000
Al: 0.5000 0.0000 0.0000
Cl: 0.0000 0.0000 0.0000

**DOS(E_F)**: 2.3 states/eV/cell



[15]
A plane-wave DFT calculation with SCAN was carried out for a crystal of AlSeCl relaxed with PBEsol.

abc: 4.4298 4.4298 4.4298
angles: 60.00 60.00 60.00
Element x y z (fractional)
Al: 0.7500 0.7500 0.7500
Se: 0.5000 0.5000 0.5000
Cl: 0.0000 0.0000 0.0000



[16]
A plane-wave DFT calculation with SCAN was carried out for a crystal of AlSe2Cl relaxed with PBEsol.

abc: 2.8084 2.8084 12.1123
angles: 83.34 83.34 60.00
Element x y z (fractional)
Al: 0.0000 0.0000 0.0000
Se: 0.9274 0.9274 0.2177
Se: 0.0726 0.0726 0.7823
Cl: 0.5000 0.5000 0.5000

**ΔE to the lowest computed polymorph**: 738 meV/atom
**DOS(E_F)**: 1.8 states/eV/cell



[17]
A plane-wave DFT calculation with SCAN was carried out for a crystal of AlSe2Cl4 relaxed with PBEsol.

abc: 9.1802 13.5296 13.2874
angles: 90.00 90.00 90.00
Element x y z (fractional)
Al: 0.5000 0.8811 0.1563
Al: 0.5000 0.1189 0.8437
Al: 0.5000 0.3811 0.3437
Al: 0.5000 0.6189 0.6563
Al: 0.0000 0.6646 0.1069
Al: 0.0000 0.3354 0.8931
Al: 0.0000 0.1646 0.3931
Al: 0.0000 0.8354 0.6069
Cl: 0.6874 0.9672 0.2038
Cl: 0.6874 0.0328 0.7962
Cl: 0.3126 0.4672 0.2962
Cl: 0.3126 0.5328 0.7038
Cl: 0.3126 0.0328 0.7962
Cl: 0.3126 0.9672 0.2038
Cl: 0.6874 0.5328 0.7038
Cl: 0.6874 0.4672 0.2962
Cl: 0.5000 0.8665 0.9959
Cl: 0.5000 0.1335 0.0041
Cl: 0.5000 0.3665 0.5041
Cl: 0.5000 0.6335 0.4959
Cl: 0.5000 0.7414 0.2299
Cl: 0.5000 0.2586 0.7701
Cl: 0.5000 0.2414 0.2701
Cl: 0.5000 0.7586 0.7299
Cl: 0.1874 0.7023 0.0143
Cl: 0.1874 0.2977 0.9857
Cl: 0.8126 0.2023 0.4857
Cl: 0.8126 0.7977 0.5143
Cl: 0.8126 0.2977 0.9857
Cl: 0.8126 0.7023 0.0143
Cl: 0.1874 0.7977 0.5143
Cl: 0.1874 0.2023 0.4857
Cl: 0.0000 0.5087 0.1345
Cl: 0.0000 0.4913 0.8655
Cl: 0.0000 0.0087 0.3655
Cl: 0.0000 0.9913 0.6345
Cl: 0.0000 0.7488 0.2413
Cl: 0.0000 0.2512 0.7587
Cl: 0.0000 0.2488 0.2587
Cl: 0.0000 0.7512 0.7413
Se: 0.1788 0.0000 0.0000
Se: 0.8212 0.5000 0.5000
Se: 0.8212 0.0000 0.0000
Se: 0.1788 0.5000 0.5000
Se: 0.0000 0.9715 0.1204
Se: 0.0000 0.0285 0.8796
Se: 0.0000 0.4715 0.3796
Se: 0.0000 0.5285 0.6204
Se: 0.3209 0.5000 0.0000
Se: 0.6791 0.0000 0.5000
Se: 0.6791 0.5000 0.0000
Se: 0.3209 0.0000 0.5000
Se: 0.5000 0.6205 0.0163
Se: 0.5000 0.3795 0.9837
Se: 0.5000 0.1205 0.4837
Se: 0.5000 0.8795 0.5163



[18]
A plane-wave DFT calculation with SCAN was carried out for a crystal of AlSe2Cl relaxed with PBEsol.

abc: 2.7457 5.0988 6.6085
angles: 112.69 90.00 90.00
Last column: magnetic moment on the atom in μB.
Element x y z (fractional)
Al: 0.5000 0.0000 0.0000  0.00
Se: 0.0000 0.0000 0.5000  0.00
Se: 0.0000 0.5000 0.5000  0.00
Cl: 0.5000 0.5000 0.0000  -0.11

**ΔE to the lowest computed polymorph**: 606 meV/atom
**DOS(E_F)**: 2.1 states/eV/cell



[19]
A plane-wave DFT calculation with SCAN was carried out for a crystal of AlSe2Cl relaxed with PBEsol.

abc: 3.7416 3.6864 7.3962
angles: 90.00 90.00 120.50
Element x y z (fractional)
Al: 0.5000 0.0000 0.5000
Se: 0.0000 0.0000 0.7093
Se: 0.0000 0.0000 0.2907
Cl: 0.5000 0.0000 0.0000

**ΔE to the lowest computed polymorph**: 362 meV/atom
**DOS(E_F)**: 0.9 states/eV/cell



[20]
A plane-wave DFT calculation with SCAN was carried out for a crystal of AlSe2Cl2 relaxed with PBEsol.

abc: 3.5403 3.5403 10.2082
angles: 99.99 99.99 90.00
Element x y z (fractional)
Al: 0.0000 0.0000 0.0000
Se: 0.2500 0.7500 0.5000
Se: 0.7500 0.2500 0.5000
Cl: 0.4259 0.4259 0.8518
Cl: 0.5741 0.5741 0.1482

**DOS(E_F)**: 1.9 states/eV/cell



[21]
A plane-wave DFT calculation with SCAN was carried out for a crystal of AlSe2Cl relaxed with PBEsol.

abc: 3.2721 5.3035 5.7663
angles: 103.95 90.00 90.00
Element x y z (fractional)
Al: 0.0000 0.4059 0.3972
Se: 0.0000 0.9987 0.0977
Se: 0.5000 0.7396 0.3333
Cl: 0.5000 0.3558 0.6719

**ΔE to the lowest computed polymorph**: 0 meV/atom
**DOS(E_F)**: 1.3 states/eV/cell



[22]
A plane-wave DFT calculation with SCAN was carried out for a crystal of AlSe2Cl relaxed with PBEsol.

abc: 3.4242 4.8313 5.7006
angles: 115.07 107.48 90.00
Element x y z (fractional)
Al: 0.0000 0.5000 0.0000
Se: 0.6904 0.6904 0.3809
Se: 0.3096 0.3096 0.6191
Cl: 0.5000 0.0000 0.0000

**ΔE to the lowest computed polymorph**: 344 meV/atom
**DOS(E_F)**: 2.4 states/eV/cell



[23]
A plane-wave DFT calculation with SCAN was carried out for a crystal of AlSe2Cl relaxed with PBEsol.

abc: 3.3856 3.3856 6.8014
angles: 90.00 90.00 90.00
Element x y z (fractional)
Al: 0.5000 0.5000 0.0000
Se: 0.0000 0.0000 0.8094
Se: 0.0000 0.0000 0.1906
Cl: 0.5000 0.5000 0.5000

**ΔE to the lowest computed polymorph**: 426 meV/atom
**DOS(E_F)**: 1.4 states/eV/cell



[24]
A plane-wave DFT calculation with SCAN was carried out for a crystal of AlSiCl2 relaxed with PBEsol.

abc: 3.2914 4.1686 7.2776
angles: 106.64 103.07 90.00
Element x y z (fractional)
Si: 0.5000 0.0000 0.0000
Al: 0.0000 0.5000 0.0000
Cl: 0.8502 0.8502 0.7004
Cl: 0.1498 0.1498 0.2996

**ΔE to the lowest computed polymorph**: 201 meV/atom
**DOS(E_F)**: 0.7 states/eV/cell



[25]
A plane-wave DFT calculation with SCAN was carried out for a crystal of AlSiCl4 relaxed with PBEsol.

abc: 5.7224 5.7224 5.7224
angles: 60.00 60.00 60.00
Last column: magnetic moment on the atom in μB.
Element x y z (fractional)
Si: 0.7500 0.7500 0.7500  -0.14
Al: 0.0000 0.0000 0.0000  0.00
Cl: 0.3750 0.3750 0.3750  0.33
Cl: 0.3750 0.3750 0.8751  0.33
Cl: 0.8751 0.3750 0.3750  0.33
Cl: 0.3750 0.8751 0.3750  0.33

**DOS(E_F)**: 3.4 states/eV/cell



| no. | formation energy (no corrections) (kJ/mol of formula units) | VASP energy (eV per atom) |
| --- | --- | --- |
| 1 | -432 | -12.02 |
| 2 | 1 | -14.01 |
| 3 | -150 | -14.76 |
| 4 | 237 | -20.44 |
| 5 | -187 | -13.19 |
| 6 | -10 | -22.59 |
| 7 | 106 | -12.52 |
| 8 | -43 | -22.67 |
| 9 | 19 | -22.51 |
| 10 | -42 | -19.69 |
| 11 | -984 | -22.44 |
| 12 | -153 | -22.05 |
| 13 | -233 | -12.17 |
| 14 | 198 | -8.68 |
| 15 | -162 | -12.50 |
| 16 | 63 | -13.81 |
| 17 | -730 | -12.48 |
| 18 | 12 | -13.94 |
| 19 | -82 | -14.18 |
| 20 | -82 | -12.94 |
| 21 | -222 | -14.55 |
| 22 | -89 | -14.20 |
| 23 | -57 | -14.12 |
| 24 | -57 | -8.58 |
| 25 | 439 | -7.52 |